1.
Computed, not measured: MnAl2Au at its PBEsol-relaxed geometry at the meta-GGA SCAN level of DFT.

Geometry as POSCAR:
```
MnAl2Au
1.0
-3.052 0.681 -2.460
-0.682 -3.912 -0.236
-0.306 1.829 4.103
Al Au Mn
2 1 1
Cartesian
-1.428 -1.850 1.260 Al
-2.612 0.447 0.148 Al
-1.867 -1.616 -1.348 Au
0.000 0.000 0.000 Mn
```

Output
Symmetry = I4/mmm
DFT formation energy = -0.38 eV/atom

---

2.
Computed, not measured: RbTmS2 at its PBEsol-relaxed geometry at the meta-GGA SCAN level of DFT.

Geometry as POSCAR:
```
RbTmS2
1.0
3.960 0.000 0.000
1.980 3.430 0.000
1.980 1.143 7.553
S Tm Rb
2 1 1
Cartesian
5.940 3.430 5.222 S
1.980 1.143 2.331 S
3.960 2.286 3.777 Tm
0.000 0.000 0.000 Rb
```

Output
Energy relative to the elements, uncorrected = -2.12 eV per atom
Symmetry = R-3m

---

3.
Computed, not measured: PrSi2Ag at its PBEsol-relaxed geometry at the meta-GGA SCAN level of DFT.

Geometry as POSCAR:
```
PrSi2Ag
1.0
-1.927 -1.132 3.561
-0.840 -3.775 -1.654
7.118 -4.930 2.285
Pr Si Ag
2 4 2
Cartesian
4.746 -6.507 1.741 Pr
-0.395 -3.329 2.450 Pr
-0.832 -4.256 -0.562 Si
5.182 -5.581 4.753 Si
1.179 -5.067 0.269 Si
3.171 -4.769 3.923 Si
2.844 -3.682 1.610 Ag
1.506 -6.154 2.582 Ag
```

Output
Energy relative to the elements, uncorrected = -0.54 eV per atom
Symmetry = Cmcm

---

4.
Computed, not measured: MgZn2Sn2 at its PBEsol-relaxed geometry at the meta-GGA SCAN level of DFT.

Geometry as POSCAR:
```
MgZn2Sn2
1.0
-0.018 0.643 3.813
-4.448 -5.742 0.947
5.819 -4.382 0.767
Zn Mg Sn
4 2 4
Cartesian
1.659 -2.357 0.405 Zn
3.428 -6.019 1.032 Zn
-0.288 -7.767 1.308 Zn
-2.057 -4.104 0.682 Zn
0.686 -5.062 0.857 Mg
0.000 0.000 0.000 Mg
3.148 -3.697 2.599 Sn
1.732 -7.177 3.179 Sn
-1.795 -5.783 2.927 Sn
-0.380 -2.304 2.347 Sn
```

Output
Symmetry = P4/mbm
DFT formation energy = 0.05 eV/atom

---

5.
Computed, not measured: LiMg2Ir at its PBEsol-relaxed geometry at the meta-GGA SCAN level of DFT.

Geometry as POSCAR:
```
LiMg2Ir
1.0
4.431 0.000 0.000
2.215 3.837 0.000
2.215 1.279 3.618
Mg Li Ir
2 1 1
Cartesian
0.000 0.000 0.000 Mg
2.215 1.279 0.904 Mg
6.646 3.837 2.713 Li
4.431 2.558 1.809 Ir
```

Output
Symmetry = F-43m
DFT formation energy = -0.27 eV/atom

---

6.
Computed, not measured: Tl2CrFe at its PBEsol-relaxed geometry at the meta-GGA SCAN level of DFT.

Geometry as POSCAR:
```
Tl2CrFe
1.0
3.207 0.000 0.000
0.000 3.624 0.000
0.000 0.000 6.105
Tl Cr Fe
2 1 1
Cartesian
0.000 0.000 1.570 Tl
0.000 0.000 4.535 Tl
1.603 1.812 0.000 Cr
1.603 1.812 3.052 Fe
```

Output
Symmetry = Pmmm
DFT formation energy = 0.50 eV/atom

---

7.
Computed, not measured: ReRu2Br at its PBEsol-relaxed geometry at the meta-GGA SCAN level of DFT.

Geometry as POSCAR:
```
ReRu2Br
1.0
-1.253 3.249 2.622
-2.810 -0.775 3.242
1.363 0.110 4.139
Ru Br Re
2 1 1
Cartesian
-2.025 1.938 7.502 Ru
0.000 0.000 0.000 Ru
-1.350 1.292 5.001 Br
-0.675 0.646 2.501 Re
```

Output
E above lowest polymorph = 648.7 meV/atom
Energy relative to the elements, uncorrected = 1.22 eV per atom
Symmetry = F-43m

---

8.
Computed, not measured: TaPCl2 at its PBEsol-relaxed geometry at the meta-GGA SCAN level of DFT.

Geometry as POSCAR:
```
TaPCl2
1.0
-0.542 1.400 2.662
-4.013 -2.760 0.635
5.524 -3.043 2.725
P Ta Cl
1 1 2
Cartesian
2.491 -0.822 2.693 P
0.485 -2.201 3.011 Ta
-0.295 -1.581 0.771 Cl
1.806 -4.222 2.588 Cl
```

Output
E above lowest polymorph = 0.0 meV/atom
Energy relative to the elements, uncorrected = -0.58 eV per atom
Symmetry = Cmmm

---

9.
Computed, not measured: Y2SnC at its PBEsol-relaxed geometry at the meta-GGA SCAN level of DFT.

Geometry as POSCAR:
```
Y2SnC
1.0
-2.971 -3.928 -0.329
-1.160 -2.563 4.055
-4.580 0.210 1.826
Sn C Y
1 1 2
Cartesian
-4.355 -3.140 2.776 Sn
0.000 0.000 0.000 C
-6.533 -4.711 4.164 Y
-2.178 -1.570 1.388 Y
```

Output
Symmetry = Fm-3m
DFT formation energy = 0.37 eV/atom

---

10.
Computed, not measured: SiAsOs2 at its PBEsol-relaxed geometry at the meta-GGA SCAN level of DFT.

Geometry as POSCAR:
```
SiAsOs2
1.0
2.744 -0.002 0.000
-1.342 2.393 0.000
0.000 0.000 9.404
Os Si As
2 1 1
Cartesian
0.000 0.000 9.349 Os
0.701 1.196 7.054 Os
0.000 0.000 5.016 Si
0.701 1.196 2.091 As
```

Output
E above lowest polymorph = 508.6 meV/atom
Energy relative to the elements, uncorrected = 0.57 eV per atom
Symmetry = Cmm2

---

11.
Computed, not measured: LaNiCl2 at its PBEsol-relaxed geometry at the meta-GGA SCAN level of DFT.

Geometry as POSCAR:
```
LaNiCl2
1.0
-0.606 1.194 3.332
-1.574 -3.118 0.832
5.384 -2.242 1.782
Cl La Ni
2 1 1
Cartesian
4.056 -1.689 1.343 Cl
1.328 -0.553 0.440 Cl
-1.090 -0.962 2.082 La
1.602 -2.083 2.973 Ni
```

Output
E above lowest polymorph = 404.2 meV/atom
Energy relative to the elements, uncorrected = -0.87 eV per atom
Symmetry = P4/mmm

---

12.
Computed, not measured: LaBeSn3 at its PBEsol-relaxed geometry at the meta-GGA SCAN level of DFT.

Geometry as POSCAR:
```
LaBeSn3
1.0
-4.567 -3.758 -0.404
1.178 -0.813 -5.753
3.592 -4.512 1.373
Be Sn La
1 3 1
Cartesian
0.101 -4.542 -2.392 Be
0.589 -0.406 -2.877 Sn
1.796 -2.256 0.686 Sn
-2.284 -1.879 -0.202 Sn
0.000 0.000 0.000 La
```

Output
Symmetry = Pm-3m
DFT formation energy = 1.27 eV/atom

---

13.
Computed, not measured: Re3P at its PBEsol-relaxed geometry at the meta-GGA SCAN level of DFT.

Geometry as POSCAR:
```
Re3P
1.0
-1.155 -1.476 -2.077
0.307 -3.280 2.159
-4.102 1.472 2.820
P Re
1 3
Cartesian
0.000 0.000 0.000 P
-3.727 -1.457 1.910 Re
-1.224 -1.826 0.992 Re
-2.051 0.736 1.410 Re
```

Output
E above lowest polymorph = 261.7 meV/atom
Symmetry = P2/m
DFT formation energy = 0.15 eV/atom

---

14.
Computed, not measured: SrCa2Mo at its PBEsol-relaxed geometry at the meta-GGA SCAN level of DFT.

Geometry as POSCAR:
```
SrCa2Mo
1.0
-1.610 -3.267 0.713
0.536 -1.034 -3.524
8.395 -3.627 2.342
Ca Mo Sr
2 1 1
Cartesian
2.047 -3.267 -0.684 Ca
0.162 -0.070 0.045 Ca
4.043 -1.747 1.128 Mo
5.266 -4.658 0.214 Sr
```

Output
E above lowest polymorph = 34.6 meV/atom
Symmetry = P4mm
DFT formation energy = 0.66 eV/atom